Entry 1:
Ni2IrPtO6 PBE with a Hubbard U optimized geometry; E = -5.23 eV/atom; SG = P4mm
1.0
-1.806 -0.933 -3.289
4.610 -3.155 -1.637
-2.289 -4.687 2.586
O Pt Ir Ni
6 1 1 2
Direct
0.766 0.758 0.242
0.164 0.500 0.500
0.766 0.758 0.758
0.766 0.242 0.242
0.190 0.000 0.000
0.766 0.242 0.758
0.658 0.500 0.500
0.670 0.000 0.000
0.851 0.500 0.000
0.851 0.000 0.500

=====

Entry 2:
PuNiIrO6 PBE with a Hubbard U optimized geometry; E = -7.70 eV/atom; SG = P-31c
1.0
-1.648 -3.692 -3.240
4.932 0.042 1.586
-2.194 -5.127 6.959
Pu O Ir Ni
2 12 2 2
Direct
0.667 0.333 0.250
0.333 0.667 0.750
0.676 0.000 0.875
0.676 0.676 0.125
0.324 0.000 0.125
0.324 0.000 0.625
0.324 0.324 0.375
0.000 0.324 0.125
0.000 0.324 0.625
0.676 0.676 0.625
0.000 0.676 0.875
0.324 0.324 0.875
0.676 0.000 0.375
0.000 0.676 0.375
0.000 0.000 0.500
0.000 0.000 0.000
0.667 0.333 0.750
0.333 0.667 0.250

=====

Entry 3:
Rb2NiIrO PBE with a Hubbard U optimized geometry; E = -3.61 eV/atom; SG = P4/mmm
1.0
-1.075 4.003 -4.597
4.170 -2.922 -3.519
-2.678 -2.234 -1.319
O Ni Ir Rb
1 1 1 2
Direct
0.000 0.000 0.000
0.500 0.500 0.500
0.000 0.000 0.500
0.000 0.500 0.000
0.500 0.000 0.000

=====

Entry 4:
RbNiIrO6 PBE with a Hubbard U optimized geometry; E = -5.38 eV/atom; SG = C2
1.0
5.136 0.084 -0.031
2.640 4.573 -0.063
-0.037 -0.070 6.258
O Ir Ni Rb
6 1 1 1
Direct
0.391 0.606 0.336
0.390 0.003 0.664
0.000 0.398 0.328
0.592 0.020 0.317
0.000 0.602 0.672
0.592 0.388 0.683
0.344 0.328 0.500
0.672 0.664 0.500
0.021 0.990 0.000

=====

Entry 5:
NiIrRhO6 PBE with a Hubbard U optimized geometry; E = -6.07 eV/atom; SG = P-31c
1.0
5.075 0.000 0.000
-2.537 4.395 0.000
0.000 0.000 8.806
Ir O Ni Rh
2 12 2 2
Direct
0.333 0.667 0.750
0.667 0.333 0.250
0.346 0.352 0.873
0.994 0.648 0.373
0.654 0.648 0.127
0.994 0.346 0.127
0.352 0.006 0.127
0.648 0.654 0.627
0.346 0.994 0.627
0.006 0.654 0.873
0.352 0.346 0.373
0.654 0.006 0.373
0.006 0.352 0.627
0.648 0.994 0.873
0.000 0.000 0.000
0.000 0.000 0.500
0.333 0.667 0.250
0.667 0.333 0.750

=====

Entry 6:
NiIrRh2O6 PBE with a Hubbard U optimized geometry; E = -5.75 eV/atom; SG = P4mm
1.0
-3.514 -0.502 -1.089
1.144 -5.708 -1.062
-1.531 -1.341 5.556
O Ir Ni Rh
6 1 1 2
Direct
0.215 0.500 0.500
0.748 0.239 0.239
0.748 0.761 0.239
0.748 0.239 0.761
0.748 0.761 0.761
0.237 0.000 0.000
0.736 0.000 0.000
0.713 0.500 0.500
0.778 0.000 0.500
0.778 0.500 0.000

=====

Entry 7:
NiIrRuO6 PBE with a Hubbard U optimized geometry; E = -6.38 eV/atom; SG = P-31c
1.0
-4.899 0.953 0.511
1.538 -3.643 -3.087
-0.448 -5.940 6.788
O Ni Ir Ru
12 2 2 2
Direct
0.999 0.345 0.628
0.346 0.001 0.628
0.345 0.346 0.372
0.001 0.655 0.372
0.001 0.346 0.128
0.654 0.655 0.128
0.345 0.999 0.128
0.346 0.345 0.872
0.654 0.999 0.372
0.655 0.001 0.872
0.655 0.654 0.628
0.999 0.654 0.872
0.000 0.000 0.000
0.000 0.000 0.500
0.667 0.333 0.250
0.333 0.667 0.750
0.333 0.667 0.250
0.667 0.333 0.750

=====

Entry 8:
Ni2IrRuO6 PBE with a Hubbard U optimized geometry; E = -5.77 eV/atom; SG = P4mm
1.0
3.753 0.000 0.000
0.000 5.795 0.000
0.000 0.000 5.795
O Ir Ru Ni
6 1 1 2
Direct
0.180 0.500 0.500
0.761 0.752 0.752
0.761 0.248 0.248
0.190 0.000 0.000
0.761 0.248 0.752
0.761 0.752 0.248
0.684 0.000 0.000
0.668 0.500 0.500
0.841 0.500 0.000
0.841 0.000 0.500

=====

Entry 9:
Ni2SbIrO6 PBE with a Hubbard U optimized geometry; E = -5.37 eV/atom; SG = P4mm
1.0
3.871 0.000 0.000
0.000 5.846 0.000
0.000 0.000 5.846
Ni Sb Ir O
2 1 1 6
Direct
0.838 0.000 0.500
0.838 0.500 0.000
0.684 0.000 0.000
0.697 0.500 0.500
0.749 0.751 0.249
0.202 0.500 0.500
0.749 0.249 0.249
0.749 0.751 0.751
0.749 0.249 0.751
0.192 0.000 0.000

=====

Entry 10:
SiNi2IrO6 PBE with a Hubbard U optimized geometry; E = -5.83 eV/atom; SG = P4mm
1.0
-1.282 2.283 -2.871
-2.862 -4.073 -1.961
-4.161 1.467 3.026
O Ni Ir Si
6 2 1 1
Direct
0.733 0.232 0.232
0.733 0.768 0.768
0.203 0.000 0.000
0.733 0.768 0.232
0.163 0.500 0.500
0.733 0.232 0.768
0.935 0.000 0.500
0.935 0.500 0.000
0.660 0.500 0.500
0.621 0.000 0.000

=====

Entry 11:
SrNiIrO6 PBE with a Hubbard U optimized geometry; E = -5.92 eV/atom; SG = P312
1.0
5.233 0.000 0.000
2.616 4.532 0.000
0.000 0.000 5.328
O Ir Ni Sr
6 1 1 1
Direct
0.367 0.018 0.700
0.616 0.367 0.700
0.018 0.367 0.300
0.616 0.018 0.300
0.367 0.615 0.300
0.018 0.616 0.700
0.333 0.333 0.500
0.667 0.667 0.500
0.000 0.000 0.000

=====

Entry 12:
SrNi2IrO6 PBE with a Hubbard U optimized geometry; E = -5.72 eV/atom; SG = P2_1/c
1.0
5.504 0.000 -0.064
0.000 5.644 0.000
-0.020 0.000 7.918
Sr O Ni Ir
2 12 4 2
Direct
0.500 0.000 0.000
0.000 0.500 0.500
0.860 0.669 0.200
0.140 0.331 0.800
0.880 0.767 0.866
0.620 0.267 0.634
0.319 0.634 0.024
0.640 0.169 0.300
0.120 0.233 0.134
0.360 0.831 0.700
0.819 0.866 0.524
0.380 0.733 0.366
0.181 0.134 0.476
0.681 0.366 0.976
0.531 0.493 0.207
0.969 0.993 0.293
0.469 0.507 0.793
0.031 0.007 0.707
0.000 0.500 0.000
0.500 0.000 0.500

=====

Entry 13:
SrNiIr2O8 PBE with a Hubbard U optimized geometry; E = -6.01 eV/atom; SG = P-3
1.0
5.442 0.000 0.000
-2.721 4.713 0.000
0.000 0.000 6.028
Ir O Sr Ni
2 8 1 1
Direct
0.667 0.333 0.053
0.333 0.667 0.947
0.305 0.939 0.146
0.333 0.667 0.639
0.366 0.305 0.854
0.939 0.634 0.854
0.695 0.061 0.854
0.667 0.333 0.361
0.634 0.695 0.146
0.061 0.366 0.146
0.000 0.000 0.500
0.000 0.000 0.000

=====

Entry 14:
Sr3NiIrO6 PBE with a Hubbard U optimized geometry; E = -6.15 eV/atom; SG = R-3c
1.0
-5.061 -3.573 -2.654
4.526 -4.623 -1.886
-0.803 -2.940 6.011
Ni Sr O Ir
2 6 12 2
Direct
0.250 0.250 0.250
0.750 0.750 0.750
0.613 0.887 0.250
0.750 0.387 0.113
0.250 0.613 0.887
0.387 0.113 0.750
0.113 0.750 0.387
0.887 0.250 0.613
0.035 0.909 0.712
0.909 0.712 0.035
0.712 0.035 0.909
0.788 0.591 0.465
0.288 0.965 0.091
0.091 0.288 0.965
0.409 0.535 0.212
0.212 0.409 0.535
0.965 0.091 0.288
0.535 0.212 0.409
0.591 0.465 0.788
0.465 0.788 0.591
0.500 0.500 0.500
0.000 0.000 0.000

=====

Entry 15:
TaNiIrO6 PBE with a Hubbard U optimized geometry; E = -7.46 eV/atom; SG = P4_2nm
1.0
4.696 0.000 0.000
0.000 4.696 0.000
0.000 0.000 9.235
Ni O Ta Ir
2 12 2 2
Direct
0.000 0.000 0.999
0.500 0.500 0.499
0.802 0.198 0.173
0.794 0.206 0.825
0.302 0.302 0.673
0.192 0.808 0.501
0.692 0.692 0.001
0.294 0.294 0.325
0.206 0.794 0.825
0.706 0.706 0.325
0.308 0.308 0.001
0.698 0.698 0.673
0.198 0.802 0.173
0.808 0.192 0.501
0.000 0.000 0.668
0.500 0.500 0.168
0.000 0.000 0.334
0.500 0.500 0.834

=====

Entry 16:
TbNiIrO6 PBE with a Hubbard U optimized geometry; E = -6.44 eV/atom; SG = P-31c
1.0
5.421 0.000 0.000
-2.711 4.695 0.000
0.000 0.000 8.512
Ir O Ni Tb
2 12 2 2
Direct
0.333 0.667 0.750
0.667 0.333 0.250
0.318 0.954 0.622
0.635 0.954 0.878
0.046 0.365 0.622
0.954 0.635 0.378
0.682 0.635 0.122
0.365 0.318 0.378
0.635 0.682 0.622
0.682 0.046 0.378
0.046 0.682 0.878
0.318 0.365 0.878
0.954 0.318 0.122
0.365 0.046 0.122
0.000 0.000 0.500
0.000 0.000 0.000
0.333 0.667 0.250
0.667 0.333 0.750

=====

Entry 17:
TcNiIrO6 PBE with a Hubbard U optimized geometry; E = -6.71 eV/atom; SG = P-31c
1.0
-4.648 -0.687 1.250
1.423 -0.769 -4.585
1.916 -9.107 2.121
O Tc Ir Ni
12 2 2 2
Direct
0.011 0.673 0.370
0.327 0.989 0.130
0.338 0.327 0.870
0.011 0.338 0.130
0.989 0.327 0.630
0.673 0.662 0.630
0.662 0.989 0.370
0.662 0.673 0.130
0.327 0.338 0.370
0.673 0.011 0.870
0.989 0.662 0.870
0.338 0.011 0.630
0.667 0.333 0.750
0.333 0.667 0.250
0.333 0.667 0.750
0.667 0.333 0.250
0.000 0.000 0.000
0.000 0.000 0.500

=====

Entry 18:
TiNi2IrO6 PBE with a Hubbard U optimized geometry; E = -6.32 eV/atom; SG = P4mm
1.0
-2.305 -3.033 0.592
0.187 -1.226 -5.559
4.562 -3.295 0.880
O Ni Ti Ir
6 2 1 1
Direct
0.741 0.248 0.752
0.212 0.000 0.000
0.741 0.752 0.752
0.741 0.248 0.248
0.741 0.752 0.248
0.212 0.500 0.500
0.847 0.500 0.000
0.847 0.000 0.500
0.656 0.000 0.000
0.709 0.500 0.500

=====

Entry 19:
TiNiIrO6 PBE with a Hubbard U optimized geometry; E = -6.89 eV/atom; SG = P-31c
1.0
5.038 0.000 0.000
-2.519 4.363 0.000
0.000 0.000 8.886
Ti O Ni Ir
2 12 2 2
Direct
0.333 0.667 0.250
0.667 0.333 0.750
0.655 0.002 0.370
0.345 0.347 0.870
0.998 0.653 0.370
0.998 0.345 0.130
0.655 0.653 0.130
0.345 0.998 0.630
0.002 0.655 0.870
0.653 0.655 0.630
0.653 0.998 0.870
0.347 0.002 0.130
0.347 0.345 0.370
0.002 0.347 0.630
0.000 0.000 0.500
0.000 0.000 0.000
0.667 0.333 0.250
0.333 0.667 0.750